Record 1
ZrSiO4: optimized geometry, PBE.

The space group is P-42c (No. 112) and the conventional cell measures 4.8478, 4.8478 and 8.6168 Å, with angles of 90.00, 90.00 and 90.00 degrees. Symmetry generates all atoms from Zr at (0.0000, 0.0000, 0.0000), Si at (0.0000, 0.5000, 0.2500) and O at (0.1708, 0.2900, 0.3661).

As for the crystal system: tetragonal. The formation energy (no corrections) comes out at -2.8175 eV/atom. For the total DFT energy (no corrections), the calculation gives -8.451 eV per atom.

=====

Record 2
Zr2SiO: optimized geometry, PBE.

The space group is Fm-3m (No. 225) and the conventional cell measures 6.3582, 6.3582 and 6.3582 Å, with angles of 90.00, 90.00 and 90.00 degrees. Symmetry generates all atoms from Zr at (0.2500, 0.2500, 0.2500), Si at (0.0000, 0.0000, 0.0000) and O at (0.0000, 0.0000, 0.5000).

For the polymorph energy (0 for the lowest one), the calculation gives 318.1 meV per atom. As for the crystal system: cubic. The formation energy (no corrections) comes out at -0.8046 eV/atom. For the total DFT energy (no corrections), the calculation gives -7.674 eV per atom.

=====

Record 3
ZrSiO2: optimized geometry, PBE.

The space group is I4_1/amd (No. 141, origin choice 2) and the conventional cell measures 6.3096, 6.3096 and 11.0361 Å, with angles of 90.00, 90.00 and 90.00 degrees. Symmetry generates all atoms from Zr at (0.0000, 0.0000, 0.0000), Si at (0.0000, 0.0000, 0.5000) and O at (0.0000, 0.0138, 0.7997).

As for the crystal system: tetragonal. The formation energy (no corrections) comes out at -1.4600 eV/atom. For the total DFT energy (no corrections), the calculation gives -7.432 eV per atom.

=====

Record 4
Zr2SiO: optimized geometry, PBE.

The space group is I-42d (No. 122) and the conventional cell measures 5.4287, 5.4287 and 10.9314 Å, with angles of 90.00, 90.00 and 90.00 degrees. Symmetry generates all atoms from Zr at (0.1759, 0.2500, 0.1250), Si at (0.0000, 0.0000, 0.5000) and O at (0.0000, 0.0000, 0.0000).

For the polymorph energy (0 for the lowest one), the calculation gives 0.0 meV per atom. As for the crystal system: tetragonal. The formation energy (no corrections) comes out at -1.1227 eV/atom. For the total DFT energy (no corrections), the calculation gives -7.992 eV per atom.

=====

Record 5
Zr2Si2O5: optimized geometry, PBE.

The space group is P4/mmm (No. 123) and the conventional cell measures 3.8995, 3.8995 and 5.9782 Å, with angles of 90.00, 90.00 and 90.00 degrees. Symmetry generates all atoms from Zr at (0.0000, 0.0000, 0.0000), Zr at (0.0000, 0.0000, 0.5000), Si at (0.5000, 0.5000, 0.2035), O at (0.0000, 0.5000, 0.2428) and O at (0.5000, 0.5000, 0.5000).

As for the crystal system: tetragonal. The formation energy (no corrections) comes out at -1.7230 eV/atom. For the total DFT energy (no corrections), the calculation gives -7.582 eV per atom.

=====

Record 6
ZrSiO2: optimized geometry, PBE.

The space group is R-3m (No. 166, hexagonal axes) and the conventional cell measures 2.8491, 2.8491 and 20.3841 Å, with angles of 90.00, 90.00 and 120.00 degrees. Symmetry generates all atoms from Zr at (0.0000, 0.0000, 0.0000), Si at (0.0000, 0.0000, 0.5000) and O at (0.0000, 0.0000, 0.1231).

As for the crystal system: trigonal. The formation energy (no corrections) comes out at -1.3665 eV/atom. For the total DFT energy (no corrections), the calculation gives -7.338 eV per atom.

=====

Record 7
ZrSiO: optimized geometry, PBE.

The space group is P4/nmm (No. 129, origin choice 2) and the conventional cell measures 3.3169, 3.3169 and 7.3633 Å, with angles of 90.00, 90.00 and 90.00 degrees. Symmetry generates all atoms from Zr at (0.2500, 0.2500, 0.1919), Si at (0.2500, 0.7500, 0.5000) and O at (0.2500, 0.2500, 0.8894).

As for the crystal system: tetragonal. The formation energy (no corrections) comes out at -1.7576 eV/atom. For the total DFT energy (no corrections), the calculation gives -8.067 eV per atom.

=====

Record 8
ZrSiO3: optimized geometry, PBE.

The space group is Pm-3m (No. 221) and the conventional cell measures 3.6201, 3.6201 and 3.6201 Å, with angles of 90.00, 90.00 and 90.00 degrees. Symmetry generates all atoms from Zr at (0.0000, 0.0000, 0.0000), Si at (0.5000, 0.5000, 0.5000) and O at (0.0000, 0.5000, 0.5000).

As for the crystal system: cubic. The formation energy (no corrections) comes out at -1.7953 eV/atom. For the total DFT energy (no corrections), the calculation gives -7.564 eV per atom.

=====

Record 9
ZrSi3O: optimized geometry, PBE.

The space group is Pm-3m (No. 221) and the conventional cell measures 4.1625, 4.1625 and 4.1625 Å, with angles of 90.00, 90.00 and 90.00 degrees. Symmetry generates all atoms from Zr at (0.0000, 0.0000, 0.0000), Si at (0.0000, 0.5000, 0.5000) and O at (0.5000, 0.5000, 0.5000).

For the polymorph energy (0 for the lowest one), the calculation gives 0.0 meV per atom. As for the crystal system: cubic. The formation energy (no corrections) comes out at -0.3096 eV/atom. For the total DFT energy (no corrections), the calculation gives -6.265 eV per atom.

=====

Record 10
ZrSiO2: optimized geometry, PBE.

The space group is I-42d (No. 122) and the conventional cell measures 5.5314, 5.5314 and 9.9083 Å, with angles of 90.00, 90.00 and 90.00 degrees. Symmetry generates all atoms from Zr at (0.0000, 0.0000, 0.0000), Si at (0.0000, 0.0000, 0.5000) and O at (0.1300, 0.2500, 0.1250).

As for the crystal system: tetragonal. The formation energy (no corrections) comes out at -1.4635 eV/atom. For the total DFT energy (no corrections), the calculation gives -7.435 eV per atom.

=====

Record 11
ZrSiO4: optimized geometry, PBE.

The space group is P2/c (No. 13) and the conventional cell measures 4.7231, 5.1799 and 4.9390 Å, with angles of 90.00, 98.68 and 90.00 degrees. Symmetry generates all atoms from Zr at (0.0000, 0.2216, 0.2500), Si at (0.5000, 0.3346, 0.7500), O at (0.2520, 0.1075, 0.6107) and O at (0.2826, 0.4208, 0.0185).

As for the crystal system: monoclinic. The formation energy (no corrections) comes out at -2.9116 eV/atom. For the total DFT energy (no corrections), the calculation gives -8.546 eV per atom.

=====

Record 12
ZrSiO2: optimized geometry, PBE.

The space group is R-3m (No. 166, hexagonal axes) and the conventional cell measures 3.1287, 3.1287 and 19.5190 Å, with angles of 90.00, 90.00 and 120.00 degrees. Symmetry generates all atoms from Zr at (0.0000, 0.0000, 0.0000), Si at (0.0000, 0.0000, 0.5000) and O at (0.0000, 0.0000, 0.3977).

As for the crystal system: trigonal. The formation energy (no corrections) comes out at -1.8533 eV/atom. For the total DFT energy (no corrections), the calculation gives -7.825 eV per atom.

=====

Record 13
ZrSi2O2: optimized geometry, PBE.

The space group is I4_1/amd (No. 141, origin choice 2) and the conventional cell measures 6.8809, 6.8809 and 17.2871 Å, with angles of 90.00, 90.00 and 90.00 degrees. Symmetry generates all atoms from Zr at (0.0000, 0.0000, 0.0000), Si at (0.0000, 0.0745, 0.2096) and O at (0.0000, 0.0499, 0.1148).

As for the crystal system: tetragonal. The formation energy (no corrections) comes out at -1.2235 eV/atom. For the total DFT energy (no corrections), the calculation gives -7.086 eV per atom.

=====

Record 14
ZrSi3O: optimized geometry, PBE.

The space group is Pm-3m (No. 221) and the conventional cell measures 5.0928, 5.0928 and 5.0928 Å, with angles of 90.00, 90.00 and 90.00 degrees. Symmetry generates all atoms from Zr at (0.0000, 0.0000, 0.0000), Si at (0.0000, 0.0000, 0.5000) and O at (0.5000, 0.5000, 0.5000).

For the polymorph energy (0 for the lowest one), the calculation gives 1590.3 meV per atom. As for the crystal system: cubic. The formation energy (no corrections) comes out at 1.2807 eV/atom. For the total DFT energy (no corrections), the calculation gives -4.674 eV per atom.

=====

Record 15
ZrSiO4: optimized geometry, PBE.

The space group is I4_1/a (No. 88, origin choice 2) and the conventional cell measures 4.7844, 4.7844 and 10.6633 Å, with angles of 90.00, 90.00 and 90.00 degrees. Symmetry generates all atoms from Zr at (0.0000, 0.2500, 0.1250), Si at (0.0000, 0.2500, 0.6250) and O at (0.1573, 0.0084, 0.2976).

As for the crystal system: tetragonal. The formation energy (no corrections) comes out at -3.0136 eV/atom. For the total DFT energy (no corrections), the calculation gives -8.648 eV per atom.

=====

Record 16
Sm2O3: optimized geometry, PBE.

The space group is P-3m1 (No. 164) and the conventional cell measures 3.7954, 3.7954 and 6.0117 Å, with angles of 90.00, 90.00 and 120.00 degrees. Symmetry generates all atoms from Sm at (0.3333, 0.6667, 0.2492), O at (0.0000, 0.0000, 0.0000) and O at (0.3333, 0.6667, 0.6450).

As for the crystal system: trigonal. The formation energy (no corrections) comes out at -3.4034 eV/atom. For the total DFT energy (no corrections), the calculation gives -8.266 eV per atom.

=====

Record 17
Sm4O: optimized geometry, PBE.

The space group is Pm-3m (No. 221) and the conventional cell measures 5.0564, 5.0564 and 5.0564 Å, with angles of 90.00, 90.00 and 90.00 degrees. Symmetry generates all atoms from Sm at (0.0000, 0.0000, 0.0000), Sm at (0.0000, 0.5000, 0.5000) and O at (0.5000, 0.5000, 0.5000).

For the polymorph energy (0 for the lowest one), the calculation gives 0.0 meV per atom. As for the crystal system: cubic. The formation energy (no corrections) comes out at -1.0874 eV/atom. For the total DFT energy (no corrections), the calculation gives -5.854 eV per atom.

=====

Record 18
Sm2O3: optimized geometry, PBE.

The space group is Pnma (No. 62) and the conventional cell measures 9.1509, 3.4331 and 9.1077 Å, with angles of 90.00, 90.00 and 90.00 degrees. Symmetry generates all atoms from Sm at (0.0043, 0.2500, 0.1852), Sm at (0.1866, 0.2500, 0.5109), O at (0.0452, 0.7500, 0.3724), O at (0.1144, 0.2500, 0.9432) and O at (0.2263, 0.7500, 0.6882).

As for the crystal system: orthorhombic. The formation energy (no corrections) comes out at -3.3200 eV/atom. For the total DFT energy (no corrections), the calculation gives -8.183 eV per atom.

=====

Record 19
Sm2O3: optimized geometry, PBE.

The space group is Pn-3m (No. 224, origin choice 2) and the conventional cell measures 5.5008, 5.5008 and 5.5008 Å, with angles of 90.00, 90.00 and 90.00 degrees. Symmetry generates all atoms from Sm at (0.0000, 0.0000, 0.0000) and O at (0.2500, 0.2500, 0.7500).

As for the crystal system: cubic. The formation energy (no corrections) comes out at -2.9982 eV/atom. For the total DFT energy (no corrections), the calculation gives -7.861 eV per atom.

=====

Record 20
SmO: optimized geometry, PBE.

The space group is P-6m2 (No. 187) and the conventional cell measures 3.3746, 3.3746 and 3.1932 Å, with angles of 90.00, 90.00 and 120.00 degrees. Symmetry generates all atoms from Sm at (0.0000, 0.0000, 0.0000) and O at (0.3333, 0.6667, 0.5000).

For the polymorph energy (0 for the lowest one), the calculation gives 261.3 meV per atom. As for the crystal system: hexagonal. The formation energy (no corrections) comes out at -2.4981 eV/atom. For the total DFT energy (no corrections), the calculation gives -7.337 eV per atom.